Entry 1:
First-principles (PBE with a Hubbard U) data for a relaxed CdAgMo2O8 crystal, as listed in Alexandria via LeMat-Bulk.

Unit cell a=7.161 b=7.161 c=7.010 alpha=90.00 beta=90.00 gamma=90.00
Space group I-4m2 (No. 119)
Unique sites:
1 Cd 0.000 0.000 0.000 (multiplicity 2)
2 Ag 0.000 0.500 0.250 (multiplicity 2)
3 Mo 0.000 0.000 0.500 (multiplicity 2)
4 Mo 0.000 0.500 0.750 (multiplicity 2)
5 O 0.000 0.199 0.343 (multiplicity 8)
6 O 0.000 0.298 0.901 (multiplicity 8)

- Density: 5.0 g cm⁻³

Entry 2:
First-principles (PBE with a Hubbard U) data for a relaxed Cd2Ag2MoO6 crystal, as listed in Alexandria via LeMat-Bulk.

Unit cell a=5.918 b=9.631 c=6.341 alpha=90.00 beta=116.31 gamma=90.00
Space group C2/m (No. 12)
Unique sites:
1 Cd 0.000 0.159 0.000 (multiplicity 4)
2 Ag 0.000 0.197 0.500 (multiplicity 4)
3 Mo 0.000 0.500 0.000 (multiplicity 2)
4 O 0.057 0.355 0.812 (multiplicity 8)
5 O 0.130 0.000 0.790 (multiplicity 4)

- Density: 6.5 g cm⁻³

Entry 3:
First-principles (PBE with a Hubbard U) data for a relaxed CdAgMoO4 crystal, as listed in Alexandria via LeMat-Bulk.

Unit cell a=6.101 b=6.487 c=7.163 alpha=90.00 beta=114.58 gamma=90.00
Space group P2_1/m (No. 11)
Unique sites:
1 Cd 0.125 0.250 0.195 (multiplicity 2)
2 Ag 0.100 0.750 0.536 (multiplicity 2)
3 Mo 0.434 0.750 0.244 (multiplicity 2)
4 O 0.263 0.530 0.102 (multiplicity 4)
5 O 0.268 0.250 0.744 (multiplicity 2)
6 O 0.459 0.750 0.505 (multiplicity 2)

- Density: 4.9 g cm⁻³

Record order is preserved below.
DFT total energy: -5.95 -4.87 -5.37 eV/atom